This record from OQMD via LeMat-Bulk describes a geometry-optimized TbAgAu structure. The functional is PBE-GGA. Values from VASP.

```
&SYSTEM
  ibrav = 0, nat = 6, ntyp = 3
/
ATOMIC_SPECIES
Tb 158.93 Tb.upf
Ag 107.87 Ag.upf
Au 196.97 Au.upf
CELL_PARAMETERS angstrom
2.3366 -4.7880 0.0000
2.3366 4.7880 0.0000
0.0000 0.0000 5.8836
ATOMIC_POSITIONS crystal
Tb 0.1939 0.8061 0.7500
Tb 0.8061 0.1939 0.2500
Ag 0.5000 0.5000 0.0000
Ag 0.5000 0.5000 0.5000
Au 0.1187 0.8813 0.2500
Au 0.8813 0.1187 0.7500
```

Summary:
total moment = 0.0 μB/f.u.
space group = Cmcm (63)
excess energy over the best structure of this formula in the dataset = 0.0 meV/atom
uncorrected energy = -4.20 eV per atom
energy relative to the elements = -60.2 kJ/mol of atoms